Record 1
First-principles (GGA-PBEsol) data for a geometry-optimized Ta3TlFe structure, as listed in Alexandria via LeMat-Bulk.

extended XYZ file:
```
5
Lattice="4.9836 0.0000 0.0000 0.0000 4.9836 0.0000 0.0000 0.0000 4.9836" Properties=species:S:1:pos:R:3 pbc="T T T"
Tl 0.0000 0.0000 0.0000
Ta 0.0000 0.0000 2.4918
Ta 2.4918 0.0000 0.0000
Ta 0.0000 2.4918 0.0000
Fe 2.4918 2.4918 2.4918
```

Results
Size of the total moment (μB per formula unit): 3.38
Space group: No. 221

***

Record 2
First-principles (GGA-PBEsol) data for a geometry-optimized TaTlFe2 structure, as listed in Alexandria via LeMat-Bulk.

extended XYZ file:
```
4
Lattice="2.8175 0.0113 0.0000 -0.8610 2.6827 0.0000 0.0000 0.0000 8.2411" Properties=species:S:1:pos:R:3 pbc="T T T"
Fe 0.0000 0.0000 2.1872
Fe 0.0000 0.0000 6.0539
Ta 0.9782 1.3470 4.1205
Tl 0.9782 1.3470 0.0000
```

Results
Size of the total moment (μB per formula unit): 3.57
Space group: No. 65

***

Calculated final energy in order - -35.33, -31.38 eV per cell